Record 1
AsPBr PBE relaxed; formation energy from raw total energies = 0.06 eV/atom; distance to the lowest polymorph of the same formula = 0.000 eV per atom; SG = No. 156; volume = 66.5 Å³/f.u.
1.0
3.6221 0.0000 0.0000
-1.8110 3.1368 0.0000
0.0000 0.0000 5.8541
As P Br
1 1 1
direct
0.0000 0.0000 0.0000
0.3333 0.6667 0.2141
0.6667 0.3333 0.6055

Record 2
As2PBr PBE relaxed; formation energy from raw total energies = 0.18 eV/atom; distance to the lowest polymorph of the same formula = 0.132 eV per atom; SG = No. 99; volume = 103.3 Å³/f.u.
1.0
3.5527 0.0000 0.0000
0.0000 3.5527 0.0000
0.0000 0.0000 8.1860
As P Br
2 1 1
direct
0.0000 0.0000 0.0000
0.5000 0.5000 0.3331
0.5000 0.5000 0.0567
0.0000 0.0000 0.7094

Record 3
AsPPbBr2 PBE relaxed; formation energy from raw total energies = 0.17 eV/atom; distance to the lowest polymorph of the same formula = 0.000 eV per atom; SG = No. 123; volume = 131.9 Å³/f.u.
1.0
5.0641 0.0000 0.0000
0.0000 5.0641 0.0000
0.0000 0.0000 5.1452
As P Pb Br
1 1 1 2
direct
0.0000 0.0000 0.0000
0.0000 0.0000 0.5000
0.5000 0.5000 0.0000
0.0000 0.5000 0.5000
0.5000 0.0000 0.5000

Record 4
As2PPbBr PBE relaxed; formation energy from raw total energies = 0.37 eV/atom; distance to the lowest polymorph of the same formula = 0.000 eV per atom; SG = No. 123; volume = 124.8 Å³/f.u.
1.0
4.8272 0.0000 0.0000
0.0000 4.8272 0.0000
0.0000 0.0000 5.3565
As P Pb Br
2 1 1 1
direct
0.0000 0.5000 0.0000
0.5000 0.0000 0.0000
0.0000 0.0000 0.0000
0.5000 0.5000 0.5000
0.0000 0.0000 0.5000

Record 5
As2PPb6Br3 PBE relaxed; formation energy from raw total energies = -0.38 eV/atom; SG = No. 12; volume = 371.8 Å³/f.u.
1.0
3.7803 -6.5489 0.0000
3.7803 6.5489 0.0000
-2.5197 0.0000 7.5099
As P Pb Br
2 1 6 3
direct
0.1664 0.8336 0.0000
0.8336 0.1664 0.0000
0.5000 0.5000 0.0000
0.1041 0.4303 0.7911
0.2437 0.2437 0.2089
0.4303 0.1041 0.7911
0.5697 0.8959 0.2089
0.7563 0.7563 0.7911
0.8959 0.5697 0.2089
0.0000 0.0000 0.5000
0.3311 0.6689 0.5000
0.6689 0.3311 0.5000

Record 6
As2PPbBr PBE relaxed; formation energy from raw total energies = 1.16 eV/atom; distance to the lowest polymorph of the same formula = 0.790 eV per atom; SG = No. 123; volume = 177.0 Å³/f.u.
1.0
5.6122 0.0000 0.0000
0.0000 5.6122 0.0000
0.0000 0.0000 5.6187
As P Pb Br
2 1 1 1
direct
0.0000 0.5000 0.0000
0.5000 0.0000 0.0000
0.0000 0.0000 0.5000
0.5000 0.5000 0.0000
0.5000 0.5000 0.5000

Record 7
AsPPbBr2 PBE relaxed; formation energy from raw total energies = 0.68 eV/atom; distance to the lowest polymorph of the same formula = 0.509 eV per atom; SG = No. 123; volume = 190.4 Å³/f.u.
1.0
5.7194 0.0000 0.0000
0.0000 5.7194 0.0000
0.0000 0.0000 5.8202
As P Pb Br
1 1 1 2
direct
0.0000 0.0000 0.0000
0.5000 0.5000 0.0000
0.0000 0.0000 0.5000
0.0000 0.5000 0.5000
0.5000 0.0000 0.5000

Record 8
AsPPdBr2 PBE relaxed; formation energy from raw total energies = 0.69 eV/atom; distance to the lowest polymorph of the same formula = 0.000 eV per atom; SG = No. 123; volume = 123.3 Å³/f.u.
1.0
5.0466 0.0000 0.0000
0.0000 5.0466 0.0000
0.0000 0.0000 4.8431
As P Pd Br
1 1 1 2
direct
0.0000 0.0000 0.0000
0.0000 0.0000 0.5000
0.5000 0.5000 0.0000
0.0000 0.5000 0.5000
0.5000 0.0000 0.5000

Record 9
AsPPdBr2 PBE relaxed; formation energy from raw total energies = 0.71 eV/atom; distance to the lowest polymorph of the same formula = 0.020 eV per atom; SG = No. 123; volume = 128.0 Å³/f.u.
1.0
5.0607 0.0000 0.0000
0.0000 5.0607 0.0000
0.0000 0.0000 4.9982
As P Pd Br
1 1 1 2
direct
0.0000 0.0000 0.0000
0.5000 0.5000 0.0000
0.0000 0.0000 0.5000
0.0000 0.5000 0.5000
0.5000 0.0000 0.5000

Record 10
Pm6As2P3Br PBE relaxed; formation energy from raw total energies = -1.56 eV/atom; SG = No. 12; volume = 312.3 Å³/f.u.
1.0
9.1444 -2.0841 0.0000
9.1444 2.0841 0.0000
-2.0053 0.0000 8.1947
Pm As P Br
6 2 3 1
direct
0.0017 0.0017 0.2247
0.3247 0.3247 0.4165
0.3341 0.3341 0.9142
0.6659 0.6659 0.0858
0.6753 0.6753 0.5835
0.9983 0.9983 0.7753
0.1651 0.1651 0.8291
0.8349 0.8349 0.1709
0.1643 0.1643 0.3342
0.5000 0.5000 0.0000
0.8357 0.8357 0.6658
0.5000 0.5000 0.5000

Record 11
Pm6As3P2Br PBE relaxed; formation energy from raw total energies = -1.54 eV/atom; SG = No. 12; volume = 316.4 Å³/f.u.
1.0
9.1470 -2.0986 0.0000
9.1470 2.0986 0.0000
-1.8803 0.0000 8.2413
Pm As P Br
6 3 2 1
direct
0.0039 0.0039 0.2721
0.3251 0.3251 0.9040
0.3310 0.3310 0.4209
0.6690 0.6690 0.5791
0.6749 0.6749 0.0960
0.9961 0.9961 0.7279
0.1625 0.1625 0.8355
0.5000 0.5000 0.5000
0.8375 0.8375 0.1645
0.1666 0.1666 0.3320
0.8334 0.8334 0.6680
0.5000 0.5000 0.0000

Record 12
Pm4As2PBr PBE relaxed; formation energy from raw total energies = -1.51 eV/atom; SG = No. 10; volume = 212.1 Å³/f.u.
1.0
7.2583 0.0000 0.0000
0.0000 4.2037 0.0000
-2.4230 0.0000 6.9517
Pm As P Br
4 2 1 1
direct
0.2352 0.0000 0.2272
0.2481 0.5000 0.7641
0.7519 0.5000 0.2359
0.7648 0.0000 0.7728
0.0000 0.0000 0.5000
0.0000 0.5000 0.0000
0.5000 0.0000 0.0000
0.5000 0.5000 0.5000

Computed uncorrected energy (eV per atom) in order:
-3.849 -3.920 -3.250 -3.649 -3.879 -2.859 -2.740 -3.034 -3.014 -6.203 -6.116 -5.933